No. 1
LiLuGaTc: relaxed, GGA-PBE.

**Crystal system**: cubic
**DFT formation energy**: -0.4 eV per formula unit

The structure in extended XYZ format:
```
4
Lattice="4.576 0.000 0.000 2.288 3.963 0.000 2.288 1.321 3.737" Properties=species:S:1:pos:R:3 pbc="T T T"
Lu 6.864 3.963 2.802
Tc 0.000 0.000 0.000
Ga 2.288 1.321 0.934
Li 4.576 2.642 1.868
```

No. 2
SrMgMn2: relaxed, GGA-PBE.

**Crystal system**: tetragonal
**DFT formation energy**: 2.1 eV per formula unit

The structure in extended XYZ format:
```
4
Lattice="-2.744 -0.679 -2.208 -1.800 -1.512 2.701 -2.988 6.577 1.690" Properties=species:S:1:pos:R:3 pbc="T T T"
Mg -4.513 3.837 1.514
Mn -2.789 6.138 1.577
Mn -1.693 3.727 0.958
Sr -3.019 0.549 0.669
```

No. 3
Dy4BiPbN: relaxed, GGA-PBE.

**Formation energy from raw total energies**: -886 meV per atom
**Crystal system**: orthorhombic

The structure in extended XYZ format:
```
14
Lattice="-2.397 -5.382 3.222 3.431 1.761 5.493 -5.089 7.012 0.931" Properties=species:S:1:pos:R:3 pbc="T T T"
Dy -5.442 1.255 5.046
Dy -2.505 4.811 6.173
Dy 1.387 2.136 4.599
Dy -1.549 -1.420 3.473
Dy -2.027 1.695 4.823
Dy -2.544 3.506 0.465
Dy -3.743 0.815 2.076
Dy -0.829 4.386 3.212
Bi 0.060 -0.467 6.262
Bi -4.114 3.857 3.383
Pb -0.457 1.343 1.905
Pb -3.598 2.047 7.741
N -0.557 3.472 5.386
N -3.497 -0.081 4.260
```

No. 4
LiCdCo3: relaxed, GGA-PBE.

**Offset from the most stable computed form**: 0 meV per atom
**Crystal system**: cubic
**DFT formation energy**: 4.5 eV per formula unit

The structure in extended XYZ format:
```
5
Lattice="4.057 0.000 0.000 0.000 4.057 0.000 0.000 0.000 4.057" Properties=species:S:1:pos:R:3 pbc="T T T"
Li 0.000 0.000 0.000
Co 0.000 2.028 0.000
Co 0.000 0.000 2.028
Co 2.028 0.000 0.000
Cd 2.028 2.028 2.028
```

No. 5
ThScZn17: relaxed, GGA-PBE.

**Crystal system**: trigonal
**DFT formation energy**: -3.5 eV per formula unit

The structure in extended XYZ format:
```
19
Lattice="6.736 0.025 0.823 0.731 6.697 0.823 0.028 0.025 6.786" Properties=species:S:1:pos:R:3 pbc="T T T"
Th 4.973 4.476 5.595
Sc 2.497 2.248 2.809
Zn 2.007 0.055 4.999
Zn 4.934 1.990 0.849
Zn 0.551 4.698 2.579
Zn 2.497 4.698 0.849
Zn 0.265 1.990 4.999
Zn 4.730 0.055 2.579
Zn 2.987 5.694 3.360
Zn 2.637 2.374 6.328
Zn 5.976 2.374 3.360
Zn 4.472 1.166 5.031
Zn 4.805 4.325 2.207
Zn 1.629 4.325 5.031
Zn 7.094 3.429 7.980
Zn 7.438 6.695 5.060
Zn 4.154 6.695 7.980
Zn 6.779 6.102 7.626
Zn 0.782 0.703 0.879
```

No. 6
Si2TcSe: relaxed, GGA-PBE.

**Formation energy from raw total energies**: 43 meV per atom
**Crystal system**: tetragonal

The structure in extended XYZ format:
```
4
Lattice="-0.153 2.549 -1.676 -2.676 -0.917 -1.150 -3.442 3.319 5.362" Properties=species:S:1:pos:R:3 pbc="T T T"
Se -3.760 3.078 2.241
Si -0.284 0.274 0.443
Si -2.341 1.709 0.030
Tc -1.607 1.549 2.503
```

No. 7
SrBr2O7: relaxed, GGA-PBE.

**Formation energy from raw total energies**: -334 meV per atom
**Crystal system**: monoclinic

The structure in extended XYZ format:
```
20
Lattice="4.010 6.106 -0.099 -4.010 6.106 -0.099 0.000 5.412 6.513" Properties=species:S:1:pos:R:3 pbc="T T T"
Sr 1.276 10.166 4.786
Sr -1.276 7.459 1.529
Br 0.145 6.688 5.172
Br -0.145 3.982 1.915
Br -0.145 10.937 1.144
Br 0.145 13.643 4.400
O 0.803 7.674 6.379
O -0.803 4.967 3.122
O -0.803 9.951 -0.063
O 0.803 12.657 3.194
O 2.727 12.191 5.728
O -2.727 9.485 2.471
O -2.727 5.434 0.587
O 2.727 8.140 3.844
O -0.346 7.859 4.046
O 0.346 5.153 0.789
O 0.346 9.765 2.270
O -0.346 12.472 5.526
O -1.357 10.166 4.786
O 1.357 7.459 1.529
```

No. 8
SmPbSe2: relaxed, GGA-PBE.

**Formation energy from raw total energies**: -1076 meV per atom
**Offset from the most stable computed form**: 27 meV per atom
**Crystal system**: trigonal

The structure in extended XYZ format:
```
4
Lattice="-2.403 0.704 3.548 1.283 -1.573 3.839 3.175 5.611 3.695" Properties=species:S:1:pos:R:3 pbc="T T T"
Pb 0.000 0.000 0.000
Se 0.561 1.264 2.787
Se 1.494 3.478 8.295
Sm 1.027 2.371 5.541
```

No. 9
PuMn2Tc: relaxed, GGA-PBE.

**Offset from the most stable computed form**: 46 meV per atom
**Crystal system**: tetragonal
**DFT formation energy**: 0.6 eV per formula unit

The structure in extended XYZ format:
```
4
Lattice="-1.626 3.087 2.055 1.474 -1.446 3.338 3.278 2.089 -0.543" Properties=species:S:1:pos:R:3 pbc="T T T"
Mn 1.639 1.045 -0.272
Mn 0.737 -0.723 1.669
Tc -0.813 1.543 1.028
Pu 1.563 1.865 2.425
```

No. 10
SrCaTa2: relaxed, GGA-PBE.

**Offset from the most stable computed form**: 782 meV per atom
**Crystal system**: tetragonal
**DFT formation energy**: 4.9 eV per formula unit

The structure in extended XYZ format:
```
4
Lattice="-2.946 0.684 2.673 -1.806 -3.434 -1.112 3.699 -3.561 4.989" Properties=species:S:1:pos:R:3 pbc="T T T"
Sr 0.399 -4.046 4.522
Ca -1.451 -2.265 2.028
Ta 0.286 -0.275 0.385
Ta 1.564 -1.505 2.109
```

No. 11
Pr5MgZn3: relaxed, GGA-PBE.

**Crystal system**: hexagonal
**DFT formation energy**: -1.3 eV per formula unit

The structure in extended XYZ format:
```
18
Lattice="-4.720 4.228 -2.488 -2.878 -6.595 -5.746 -3.738 0.758 8.380" Properties=species:S:1:pos:R:3 pbc="T T T"
Pr -3.165 -4.144 -1.038
Pr -5.812 0.421 2.427
Pr -3.451 -1.693 3.671
Pr -5.525 -2.030 -2.282
Pr -8.079 -0.833 -0.059
Pr -7.592 -3.186 -4.982
Pr -4.444 1.101 -3.670
Pr -3.257 -0.775 0.205
Pr -3.745 1.577 5.127
Pr -3.155 -3.468 -4.565
Mg 0.000 0.000 0.000
Mg -2.360 2.114 -1.244
Zn -5.821 1.159 -0.958
Zn -8.867 -2.927 -2.122
Zn -5.426 -1.150 -5.631
Zn -5.515 -2.767 1.103
Zn -2.469 1.318 2.267
Zn -2.173 -1.217 -2.604
```

No. 12
Ac2Al3Cd6: relaxed, GGA-PBE.

**Crystal system**: hexagonal
**DFT formation energy**: -2.6 eV per formula unit

The structure in extended XYZ format:
```
11
Lattice="4.529 0.000 0.000 0.000 7.327 -4.230 0.000 0.000 8.461" Properties=species:S:1:pos:R:3 pbc="T T T"
Ac 0.000 4.885 0.000
Ac 0.000 2.442 4.230
Al 2.264 2.745 1.585
Al 2.264 4.583 -2.646
Al 2.264 0.000 5.291
Cd 2.264 5.131 2.962
Cd 2.264 0.000 2.536
Cd 0.000 1.446 0.835
Cd 0.000 5.881 -3.396
Cd 2.264 2.196 -1.268
Cd 0.000 0.000 6.791
```

Volume in Å³/atom, matching the order above: 16.9 23.8 25.9 13.4 16.1 16.8 16.2 28.6 15.6 29.2 27.8 25.5